Version w
## Cd2Pd3Pt (GGA-PBE)

Data for a relaxed Cd2Pd3Pt crystal.

Cell and atoms, written as CIF:
```
data_Cd2Pd3Pt
_space_group_name_H-M_alt 'P 1'
_space_group_IT_number 1
_cell_length_a 8.6148
_cell_length_b 8.6148
_cell_length_c 8.4902
_cell_angle_alpha 120.49
_cell_angle_beta 120.49
_cell_angle_gamma 90.00
loop_
_space_group_symop_operation_xyz
'x,y,z'
loop_
_atom_site_label
_atom_site_fract_x
_atom_site_fract_y
_atom_site_fract_z
_atom_site_occupancy
Pd1 0.9580 0.4580 0.5000 1
Pd2 0.5420 0.0420 0.5000 1
Cd1 0.3404 0.6530 0.3060 1
Pd3 0.2920 0.2920 0.0000 1
Cd2 0.3470 0.6596 0.6940 1
Pt1 0.6364 0.1364 0.2727 1
Pd4 0.2920 0.7080 0.0000 1
Pd5 0.5420 0.4580 0.5000 1
Pd6 0.1250 0.8750 0.2500 1
Pd7 0.9580 0.0420 0.5000 1
Pt2 0.6136 0.6136 0.2273 1
Cd3 0.9096 0.0970 0.1940 1
Pd8 0.1250 0.3750 0.2500 1
Pd9 0.6250 0.8750 0.7500 1
Pd10 0.7080 0.2920 0.0000 1
Cd4 0.9656 0.6530 0.3060 1
Pd11 0.7080 0.7080 0.0000 1
Cd5 0.3470 0.0344 0.6940 1
Pd12 0.1250 0.8750 0.7500 1
Cd6 0.9030 0.7156 0.8060 1
Cd7 0.2844 0.0970 0.1940 1
Cd8 0.9030 0.0904 0.8060 1
Pt3 0.8636 0.3636 0.7273 1
Pt4 0.3864 0.3864 0.7727 1
```

space group = I4_1/amd



Version x
## Cd2Pd3Pt (GGA-PBE)

Data for a relaxed Cd2Pd3Pt crystal.

Cell and atoms, written as CIF:
```
data_Cd2Pd3Pt
_space_group_name_H-M_alt 'P 1'
_space_group_IT_number 1
_cell_length_a 4.1805
_cell_length_b 7.6281
_cell_length_c 7.6616
_cell_angle_alpha 119.86
_cell_angle_beta 105.83
_cell_angle_gamma 90.00
loop_
_space_group_symop_operation_xyz
'x,y,z'
loop_
_atom_site_label
_atom_site_fract_x
_atom_site_fract_y
_atom_site_fract_z
_atom_site_occupancy
Pd1 0.1661 0.4161 0.3323 1
Cd1 0.6637 0.6618 0.3236 1
Cd2 0.6599 0.1618 0.3236 1
Pt1 0.0000 0.5000 0.0000 1
Pd2 0.1661 0.9161 0.3323 1
Cd3 0.3401 0.8382 0.6764 1
Pd3 0.8339 0.0839 0.6677 1
Pt2 0.0000 0.0000 0.0000 1
Cd4 0.3363 0.3382 0.6764 1
Pd4 0.5000 0.2500 0.0000 1
Pd5 0.8339 0.5839 0.6677 1
Pd6 0.5000 0.7500 0.0000 1
```

space group = Ibam



Which structure is the most stable? The one labeled version x.



Version w
## Cd2Pd2Pt7 (GGA-PBE)

Data for a relaxed Cd2Pd2Pt7 crystal.

Cell and atoms, written as CIF:
```
data_Cd2Pd2Pt7
_space_group_name_H-M_alt 'P 1'
_space_group_IT_number 1
_cell_length_a 9.2605
_cell_length_b 6.2899
_cell_length_c 6.2899
_cell_angle_alpha 102.86
_cell_angle_beta 114.92
_cell_angle_gamma 114.92
loop_
_space_group_symop_operation_xyz
'x,y,z'
loop_
_atom_site_label
_atom_site_fract_x
_atom_site_fract_y
_atom_site_fract_z
_atom_site_occupancy
Pd1 0.0000 0.3664 0.6336 1
Pt1 0.9674 0.6733 0.9460 1
Pd2 0.0000 0.6336 0.3664 1
Pt2 0.0326 0.3267 0.0540 1
Pt3 0.5000 0.0000 0.0000 1
Pt4 0.9674 0.9460 0.6733 1
Cd1 0.3170 0.1884 0.1884 1
Pt5 0.0326 0.0540 0.3267 1
Cd2 0.6830 0.8116 0.8116 1
Pt6 0.7013 0.4254 0.4254 1
Pt7 0.2987 0.5746 0.5746 1
```

space group = C2/m



Version x
## Cd2Pd2Pt7 (GGA-PBE)

Data for a relaxed Cd2Pd2Pt7 crystal.

Cell and atoms, written as CIF:
```
data_Cd2Pd2Pt7
_space_group_name_H-M_alt 'P 1'
_space_group_IT_number 1
_cell_length_a 5.5052
_cell_length_b 6.5210
_cell_length_c 5.5052
_cell_angle_alpha 101.01
_cell_angle_beta 95.47
_cell_angle_gamma 101.01
loop_
_space_group_symop_operation_xyz
'x,y,z'
loop_
_atom_site_label
_atom_site_fract_x
_atom_site_fract_y
_atom_site_fract_z
_atom_site_occupancy
Pt1 0.6149 0.8600 0.6149 1
Pd1 0.8138 0.5430 0.8138 1
Pd2 0.1862 0.4570 0.1862 1
Pt2 0.3851 0.1400 0.3851 1
Pt3 0.8973 0.1746 0.4497 1
Cd1 0.7133 0.5000 0.2867 1
Pt4 0.5503 0.8254 0.1027 1
Pt5 0.4497 0.1746 0.8973 1
Pt6 0.0000 0.0000 0.0000 1
Cd2 0.2867 0.5000 0.7133 1
Pt7 0.1027 0.8254 0.5503 1
```

space group = C2/m



Which structure is the most stable? The one labeled version x.



Version w
## Cd3Pd4Pt2 (GGA-PBE)

Data for a relaxed Cd3Pd4Pt2 crystal.

Cell and atoms, written as CIF:
```
data_Cd3Pd4Pt2
_space_group_name_H-M_alt 'P 1'
_space_group_IT_number 1
_cell_length_a 7.3861
_cell_length_b 7.7712
_cell_length_c 7.3861
_cell_angle_alpha 59.74
_cell_angle_beta 104.83
_cell_angle_gamma 120.26
loop_
_space_group_symop_operation_xyz
'x,y,z'
loop_
_atom_site_label
_atom_site_fract_x
_atom_site_fract_y
_atom_site_fract_z
_atom_site_occupancy
Pd1 0.2099 0.8049 0.6261 1
Pt1 0.9831 0.3354 0.6970 1
Pd2 0.6261 0.6951 0.2098 1
Cd1 0.0150 0.9738 0.7291 1
Cd2 0.7291 0.5262 0.0150 1
Pd3 0.7879 0.5934 0.6261 1
Pt2 0.6970 0.1646 0.9831 1
Pt3 0.3030 0.8354 0.0169 1
Cd3 0.5169 0.2500 0.5169 1
Pd4 0.3739 0.3049 0.7902 1
Pd5 0.6261 0.9066 0.7879 1
Pd6 0.2121 0.4066 0.3739 1
Pd7 0.3739 0.0934 0.2121 1
Cd4 0.2709 0.4738 0.9850 1
Cd5 0.4831 0.7500 0.4831 1
Pd8 0.7901 0.1951 0.3739 1
Cd6 0.9850 0.0262 0.2709 1
Pt4 0.0169 0.6646 0.3030 1
```

space group = C2/c



Version x
## Cd3Pd4Pt2 (GGA-PBE)

Data for a relaxed Cd3Pd4Pt2 crystal.

Cell and atoms, written as CIF:
```
data_Cd3Pd4Pt2
_space_group_name_H-M_alt 'P 1'
_space_group_IT_number 1
_cell_length_a 4.9127
_cell_length_b 8.1375
_cell_length_c 8.1375
_cell_angle_alpha 73.59
_cell_angle_beta 97.90
_cell_angle_gamma 97.90
loop_
_space_group_symop_operation_xyz
'x,y,z'
loop_
_atom_site_label
_atom_site_fract_x
_atom_site_fract_y
_atom_site_fract_z
_atom_site_occupancy
Cd1 0.5771 0.2892 0.0421 1
Pd1 0.8097 0.7339 0.4912 1
Pd2 0.0286 0.1829 0.9299 1
Pd3 0.3097 0.4912 0.7339 1
Cd2 0.4229 0.7108 0.9579 1
Pd4 0.9714 0.8171 0.0701 1
Cd3 0.0771 0.0421 0.2892 1
Cd4 0.2500 0.6259 0.3741 1
Pt1 0.6321 0.1501 0.4079 1
Pd5 0.5286 0.9299 0.1829 1
Pt2 0.8679 0.5921 0.8499 1
Cd5 0.9229 0.9579 0.7108 1
Pt3 0.3679 0.8499 0.5921 1
Pd6 0.6903 0.5088 0.2661 1
Cd6 0.7500 0.3741 0.6259 1
Pd7 0.4714 0.0701 0.8171 1
Pd8 0.1903 0.2661 0.5088 1
Pt4 0.1321 0.4079 0.1501 1
```

space group = C2/c



Which structure is the most stable? The one labeled version x.



Version w
## CdPd2Pt6 (GGA-PBE)

Data for a relaxed CdPd2Pt6 crystal.

Cell and atoms, written as CIF:
```
data_CdPd2Pt6
_space_group_name_H-M_alt 'P 1'
_space_group_IT_number 1
_cell_length_a 3.9854
_cell_length_b 8.4796
_cell_length_c 8.4796
_cell_angle_alpha 90.00
_cell_angle_beta 90.00
_cell_angle_gamma 90.00
loop_
_space_group_symop_operation_xyz
'x,y,z'
loop_
_atom_site_label
_atom_site_fract_x
_atom_site_fract_y
_atom_site_fract_z
_atom_site_occupancy
Pt1 0.0000 0.6732 0.8269 1
Cd1 0.0000 0.0000 0.5000 1
Cd2 0.5000 0.5000 0.0000 1
Pd1 0.5000 0.8374 0.6627 1
Pt2 0.5000 0.1649 0.0066 1
Pt3 0.5000 0.4933 0.3351 1
Pt4 0.0000 0.6649 0.4934 1
Pt5 0.5000 0.5067 0.6649 1
Pt6 0.5000 0.1732 0.6731 1
Pd2 0.0000 0.6626 0.1627 1
Pt7 0.0000 0.3351 0.5066 1
Pt8 0.5000 0.8268 0.3269 1
Pt9 0.5000 0.8351 0.9934 1
Pt10 0.0000 0.3268 0.1731 1
Pt11 0.0000 0.9933 0.1649 1
Pd3 0.5000 0.1626 0.3373 1
Pt12 0.0000 0.0067 0.8351 1
Pd4 0.0000 0.3374 0.8373 1
```

space group = P4_2/mnm



Version x
## CdPd2Pt6 (GGA-PBE)

Data for a relaxed CdPd2Pt6 crystal.

Cell and atoms, written as CIF:
```
data_CdPd2Pt6
_space_group_name_H-M_alt 'P 1'
_space_group_IT_number 1
_cell_length_a 2.8126
_cell_length_b 8.0398
_cell_length_c 8.0398
_cell_angle_alpha 125.52
_cell_angle_beta 85.18
_cell_angle_gamma 85.18
loop_
_space_group_symop_operation_xyz
'x,y,z'
loop_
_atom_site_label
_atom_site_fract_x
_atom_site_fract_y
_atom_site_fract_z
_atom_site_occupancy
Pd1 0.5000 0.1716 0.8284 1
Pt1 0.8375 0.1682 0.4962 1
Pt2 0.3352 0.3313 0.3313 1
Cd1 0.0000 0.0000 0.0000 1
Pt3 0.6648 0.6687 0.6687 1
Pt4 0.8375 0.4962 0.1682 1
Pt5 0.1625 0.5038 0.8318 1
Pd2 0.5000 0.8284 0.1716 1
Pt6 0.1625 0.8318 0.5038 1
```

space group = C2/m



Which structure is the most stable? The one labeled version w.



Version w
## Cd2PdPt6 (GGA-PBE)

Data for a relaxed Cd2PdPt6 crystal.

Cell and atoms, written as CIF:
```
data_Cd2PdPt6
_space_group_name_H-M_alt 'P 1'
_space_group_IT_number 1
_cell_length_a 4.0095
_cell_length_b 8.5779
_cell_length_c 8.5779
_cell_angle_alpha 90.00
_cell_angle_beta 90.00
_cell_angle_gamma 90.00
loop_
_space_group_symop_operation_xyz
'x,y,z'
loop_
_atom_site_label
_atom_site_fract_x
_atom_site_fract_y
_atom_site_fract_z
_atom_site_occupancy
Pt1 0.5000 0.4900 0.3360 1
Pd1 0.5000 0.5000 0.0000 1
Pt2 0.5000 0.8253 0.3253 1
Pt3 0.5000 0.5100 0.6640 1
Pt4 0.5000 0.1747 0.6747 1
Cd1 0.5000 0.1584 0.3416 1
Pt5 0.0000 0.3253 0.1747 1
Cd2 0.0000 0.6584 0.1584 1
Cd3 0.0000 0.3416 0.8416 1
Pt6 0.0000 0.6747 0.8253 1
Pd2 0.0000 0.0000 0.5000 1
Pt7 0.0000 0.9900 0.1640 1
Pt8 0.5000 0.8360 0.9900 1
Pt9 0.5000 0.1640 0.0100 1
Pt10 0.0000 0.0100 0.8360 1
Pt11 0.0000 0.6640 0.4900 1
Pt12 0.0000 0.3360 0.5100 1
Cd4 0.5000 0.8416 0.6584 1
```

space group = P4_2/mnm



Version x
## Cd2PdPt6 (GGA-PBE)

Data for a relaxed Cd2PdPt6 crystal.

Cell and atoms, written as CIF:
```
data_Cd2PdPt6
_space_group_name_H-M_alt 'P 1'
_space_group_IT_number 1
_cell_length_a 2.8460
_cell_length_b 8.1064
_cell_length_c 8.1064
_cell_angle_alpha 125.52
_cell_angle_beta 85.09
_cell_angle_gamma 85.09
loop_
_space_group_symop_operation_xyz
'x,y,z'
loop_
_atom_site_label
_atom_site_fract_x
_atom_site_fract_y
_atom_site_fract_z
_atom_site_occupancy
Pd1 0.0000 0.0000 0.0000 1
Pt1 0.1584 0.8331 0.5086 1
Cd1 0.5000 0.8312 0.1688 1
Pt2 0.3360 0.3341 0.3341 1
Pt3 0.1584 0.5086 0.8331 1
Pt4 0.8416 0.4914 0.1669 1
Cd2 0.5000 0.1688 0.8312 1
Pt5 0.8416 0.1669 0.4914 1
Pt6 0.6640 0.6659 0.6659 1
```

space group = C2/m



Which structure is the most stable? The one labeled version w.